DFT (PBE-GGA) results for Nd2BeI after structural relaxation.

Output
Formation energy (no corrections) in eV per atom: -0.337
DOS at the Fermi energy in states/eV/f.u.: 4.51

Cell lengths 4.1101, 4.1101, 24.1207 Å; angles 90.00, 90.00, 120.00 degrees
Space group R-3m (No. 166, hexagonal axes)
Asymmetric unit:
Nd: 0.0000 0.0000 0.2351 x6
Be: 0.0000 0.0000 0.5000 x3
I: 0.0000 0.0000 0.0000 x3